Al2BiWO8 | Alexandria via LeMat-Bulk | GGA+U | optimized geometry; raw total energy = -6.929 eV per atom
1.0
-2.2604 -3.1712 -2.4851
2.0468 -3.3598 2.4256
-4.7856 0.1182 4.2019
W O Bi Al
1 8 1 2
direct
0.0000 0.0000 0.0000
0.3334 0.3338 0.5000
0.7909 0.2084 0.2167
0.6974 0.6967 0.0000
0.7909 0.2084 0.7833
0.3026 0.3033 0.0000
0.2091 0.7916 0.2167
0.2091 0.7916 0.7833
0.6666 0.6662 0.5000
0.0000 0.0000 0.5000
0.5000 0.5000 0.7601
0.5000 0.5000 0.2399